[1]
Here is crystalline TlRu2Br at its relaxed geometry from Alexandria. Energies are from GGA-PBEsol.

Unit cell a=2.971 b=2.978 c=8.712 alpha=98.93 beta=90.00 gamma=90.00
Positions (direct):
1 Ru 0.000 0.834 0.037
2 Ru 0.500 0.412 0.206
3 Tl 0.000 0.027 0.454
4 Br 0.500 0.727 0.803

- total energy (eV per cell) = -23.3
- raw formation energy (eV/atom) = 0.392
- magnetic moment (Bohr magnetons per cell) = 0.00
- space group = No. 6

[2]
Here is crystalline Tl2RuBr at its relaxed geometry from Alexandria. Energies are from GGA-PBEsol.

Unit cell a=3.111 b=5.488 c=6.253 alpha=113.65 beta=90.00 gamma=106.47
Positions (direct):
1 Ru 0.802 0.604 0.148
2 Tl 0.067 0.133 0.136
3 Tl 0.218 0.435 0.735
4 Br 0.414 0.828 0.481

- total energy (eV per cell) = -16.2
- raw formation energy (eV/atom) = 0.281
- magnetic moment (Bohr magnetons per cell) = 0.00
- space group = No. 8

[3]
Here is crystalline Tl2RuBr at its relaxed geometry from Alexandria. Energies are from GGA-PBEsol.

Unit cell a=4.328 b=4.328 c=5.644 alpha=112.55 beta=112.55 gamma=90.00
Positions (direct):
1 Ru 0.000 0.000 0.000
2 Tl 0.750 0.250 0.500
3 Tl 0.250 0.750 0.500
4 Br 0.500 0.500 0.000

- total energy (eV per cell) = -14.5
- raw formation energy (eV/atom) = 0.703
- magnetic moment (Bohr magnetons per cell) = 1.71
- space group = No. 139

[4]
Here is crystalline TlRu2Br at its relaxed geometry from Alexandria. Energies are from GGA-PBEsol.

Unit cell a=3.139 b=3.139 c=6.642 alpha=90.00 beta=90.00 gamma=90.00
Positions (direct):
1 Ru 0.000 0.000 0.730
2 Ru 0.000 0.000 0.270
3 Tl 0.500 0.500 0.000
4 Br 0.500 0.500 0.500

- total energy (eV per cell) = -21.5
- raw formation energy (eV/atom) = 0.832
- magnetic moment (Bohr magnetons per cell) = 0.00
- space group = No. 123

[5]
Here is crystalline Tl2RuBr at its relaxed geometry from Alexandria. Energies are from GGA-PBEsol.

Unit cell a=3.115 b=4.590 c=7.294 alpha=108.34 beta=102.33 gamma=90.00
Positions (direct):
1 Ru 0.231 0.731 0.462
2 Tl 0.931 0.931 0.863
3 Tl 0.756 0.256 0.511
4 Br 0.582 0.582 0.164

- total energy (eV per cell) = -16.1
- raw formation energy (eV/atom) = 0.291
- magnetic moment (Bohr magnetons per cell) = 0.00
- space group = No. 44

[6]
Here is crystalline Tl2RuWBr at its relaxed geometry from Alexandria. Energies are from GGA-PBEsol.

Unit cell a=4.662 b=5.389 c=5.389 alpha=90.00 beta=90.00 gamma=90.00
Positions (direct):
1 Ru 0.500 0.500 0.500
2 Tl 0.000 0.000 0.500
3 Tl 0.000 0.500 0.000
4 Br 0.500 0.000 0.000
5 W 0.000 0.000 0.000

- total energy (eV per cell) = -22.7
- raw formation energy (eV/atom) = 1.687
- magnetic moment (Bohr magnetons per cell) = 2.97
- space group = No. 123

Question: The lowest total energy belongs to which entry?
Answer: number 1

Please write out number 3 again, unchanged.
Here is crystalline Tl2RuBr at its relaxed geometry from Alexandria. Energies are from GGA-PBEsol.

Unit cell a=4.328 b=4.328 c=5.644 alpha=112.55 beta=112.55 gamma=90.00
Positions (direct):
1 Ru 0.000 0.000 0.000
2 Tl 0.750 0.250 0.500
3 Tl 0.250 0.750 0.500
4 Br 0.500 0.500 0.000

- total energy (eV per cell) = -14.5
- raw formation energy (eV/atom) = 0.703
- magnetic moment (Bohr magnetons per cell) = 1.71
- space group = No. 139